Material: YTmScAl
Method: DFT, PBE
State: relaxed

Output
- ΔE to the lowest computed polymorph: 89 meV per atom
- E_form: -109.8 meV per atom
- Total energy: -5.362 eV/atom
- Crystal system: cubic
- Space group: F-43m (216)

Structure (CIF):
```
data_YTmScAl
_cell_length_a 5.2137
_cell_length_b 5.2137
_cell_length_c 5.2137
_cell_angle_alpha 60.00
_cell_angle_beta 60.00
_cell_angle_gamma 60.00
_space_group_name_H-M_alt 'P 1'
_space_group_IT_number 1
_space_group_name_Hall 'P 1'
loop_
_atom_site_label
_atom_site_fract_x
_atom_site_fract_y
_atom_site_fract_z
Y1 0.0000 0.0000 0.0000
Tm1 0.5000 0.5000 0.5000
Sc1 0.2500 0.2500 0.2500
Al1 0.7500 0.7500 0.7500
```